Compound: Ba2HfMnIn
Source: Alexandria via LeMat-Bulk
Functional: SCAN
Structure: PBEsol geometry Values from VASP.

Geometry as Quantum ESPRESSO input:
```
&SYSTEM
  ibrav = 0, nat = 5, ntyp = 4
/
ATOMIC_SPECIES
Ba 137.33 Ba.upf
Hf 178.49 Hf.upf
Mn 54.94 Mn.upf
In 114.82 In.upf
ATOMIC_POSITIONS crystal
Ba 0.000 0.500 0.000
Ba 0.500 0.000 0.000
Hf 0.000 0.000 0.500
Mn 0.500 0.500 0.500
In 0.500 0.500 0.000
CELL_PARAMETERS angstrom
6.433 0.000 0.000
0.000 6.433 0.000
0.000 0.000 4.975
```

ΔE_f = 898 meV per atom
E_tot = -37.7847 eV per atom
SG = P4/mmm (123)
spin magnetization = 1.594 μB per atom